# YInBr2 (PBE, optimized geometry)
data_YInBr2
_symmetry_space_group_name_H-M 'P 1'
_symmetry_Int_Tables_number 1
_symmetry_space_group_name_Hall 'P 1'
_cell_length_a 4.7004
_cell_length_b 4.8210
_cell_length_c 4.8210
_cell_angle_alpha 90.00
_cell_angle_beta 90.00
_cell_angle_gamma 90.00
loop_
_atom_site_label
_atom_site_type_symbol
_atom_site_fract_x
_atom_site_fract_y
_atom_site_fract_z
Y1 Y 0.5000 0.0000 0.5000
In1 In 0.5000 0.5000 0.0000
Br1 Br 0.0000 0.5000 0.5000
Br2 Br 0.0000 0.0000 0.0000
# Calculated density in g/cm3: 5.53
# Uncorrected formation energy in meV/atom: -638.5
# Spin magnetization in Bohr magnetons per cell: 0.0